Density functional theory data (PBE-GGA) for a geometry-optimized Ag2PdBr2Cl2 structure.

POSCAR file:
```
Ag2PdBr2Cl2
1.0
3.9046 0.0000 0.0000
1.9523 7.9796 0.5289
1.9523 3.4850 5.6986
Cl Pd Ag Br
2 1 2 2
Cartesian
1.9523 5.5713 0.4822 Cl
5.8569 5.8933 5.7453 Cl
0.0000 0.0000 0.0000 Pd
5.8569 8.3568 4.4345 Ag
1.9523 3.1078 1.7930 Ag
3.9046 7.9715 2.4846 Br
3.9046 3.4932 3.7429 Br
```

- DFT total energy (eV/f.u.) = -20.08
- formation energy without anion corrections (meV/atom) = -306
- V (Å³/atom) = 24.3
- Fermi-level density of states (states/eV per atom) = 0.5252